This record from the Open Quantum Materials Database describes a geometry-optimized Tm3Se2S structure. The functional is PBE.

Cell lengths 3.9506, 3.9506, 9.7147 Å; angles 90.00, 90.00, 120.00 degrees
Sites, in units of the cell vectors:
1 Tm 0.0000 0.0000 0.0000
2 Tm 0.3333 0.6667 0.3494
3 Tm 0.6667 0.3333 0.6506
4 Se 0.3333 0.6667 0.8274
5 Se 0.6667 0.3333 0.1726
6 S 0.0000 0.0000 0.5000

## Properties
The calculation puts the spin magnetization at 0.0 μB/f.u. As for the space group: P-3m1. The calculation puts the calculated total energy at -5.83 eV per atom.


This record from the Open Quantum Materials Database describes a geometry-optimized Tm3SeS2 structure. The functional is PBE.

Cell lengths 3.8958, 3.8958, 9.5468 Å; angles 90.00, 90.00, 120.00 degrees
Sites, in units of the cell vectors:
1 Tm 0.0000 0.0000 0.0000
2 Tm 0.3333 0.6667 0.3163
3 Tm 0.6667 0.3333 0.6837
4 Se 0.0000 0.0000 0.5000
5 S 0.3333 0.6667 0.8392
6 S 0.6667 0.3333 0.1608

## Properties
The calculation puts the spin magnetization at 0.0 μB/f.u. As for the space group: P-3m1. The calculation puts the calculated total energy at -6.03 eV per atom.


This record from the Open Quantum Materials Database describes a geometry-optimized W2SeS3 structure. The functional is PBE.

Cell lengths 5.5630, 3.2154, 9.8869 Å; angles 90.00, 106.25, 90.00 degrees
Sites, in units of the cell vectors:
1 W 0.0000 0.0000 0.0000
2 W 0.4946 0.5000 0.9998
3 Se 0.7560 0.0000 0.1829
4 S 0.0812 0.5000 0.8347
5 S 0.2460 0.5000 0.1643
6 S 0.5829 0.0000 0.8380

## Properties
The calculation puts the spin magnetization at 0.0 μB/f.u. As for the space group: Pm. The calculation puts the calculated total energy at -7.72 eV per atom.


This record from the Open Quantum Materials Database describes a geometry-optimized WSeS structure. The functional is PBE.

Cell lengths 3.2459, 11.3928, 11.3928 Å; angles 151.52, 90.00, 90.00 degrees
Sites, in units of the cell vectors:
1 W 0.2500 0.2500 0.7500
2 W 0.7500 0.7500 0.2500
3 Se 0.2500 0.8380 0.4948
4 Se 0.7500 0.4948 0.8380
5 S 0.2500 0.9852 0.3472
6 S 0.7500 0.3472 0.9852

## Properties
The calculation puts the spin magnetization at 0.0 μB/f.u. As for the space group: Ama2. The calculation puts the calculated total energy at -7.55 eV per atom.


This record from the Open Quantum Materials Database describes a geometry-optimized W2Se3S structure. The functional is PBE.

Cell lengths 11.4310, 11.4310, 5.6867 Å; angles 90.01, 90.01, 16.53 degrees
Sites, in units of the cell vectors:
1 W 0.0000 0.0000 0.0000
2 W 0.4999 0.4999 0.4938
3 Se 0.0743 0.0743 0.6642
4 Se 0.5759 0.5759 0.1629
5 Se 0.9249 0.9249 0.6637
6 S 0.4326 0.4326 0.1634

## Properties
The calculation puts the spin magnetization at 0.0 μB/f.u. As for the space group: Cm. The calculation puts the calculated total energy at -7.37 eV per atom.


This record from the Open Quantum Materials Database describes a geometry-optimized WSeS structure. The functional is PBE.

Cell lengths 22.5968, 3.2503, 3.2503 Å; angles 60.00, 90.00, 90.00 degrees
Sites, in units of the cell vectors:
1 W 0.2474 0.2500 0.7500
2 W 0.7526 0.7500 0.2500
3 Se 0.3234 0.9167 0.4167
4 Se 0.6766 0.4167 0.9167
5 S 0.1792 0.9167 0.4167
6 S 0.8208 0.4167 0.9167

## Properties
The calculation puts the spin magnetization at 0.0 μB/f.u. As for the space group: Aem2. The calculation puts the calculated total energy at -7.54 eV per atom.


This record from the Open Quantum Materials Database describes a geometry-optimized W2SeS3 structure. The functional is PBE.

Cell lengths 3.2163, 3.2163, 22.0894 Å; angles 90.00, 90.00, 60.01 degrees
Sites, in units of the cell vectors:
1 W 0.0000 0.0000 0.0000
2 W 0.5000 0.5000 0.4971
3 Se 0.1668 0.1668 0.5763
4 S 0.1668 0.1668 0.4266
5 S 0.6668 0.6668 0.0710
6 S 0.6668 0.6668 0.9290

## Properties
The calculation puts the spin magnetization at 0.0 μB/f.u. As for the space group: Cm. The calculation puts the calculated total energy at -7.71 eV per atom.


This record from the Open Quantum Materials Database describes a geometry-optimized WSeS structure. The functional is PBE.

Cell lengths 3.2473, 3.2473, 11.6573 Å; angles 102.06, 102.06, 60.00 degrees
Sites, in units of the cell vectors:
1 W 0.0000 0.0000 0.0000
2 Se 0.5907 0.5907 0.8482
3 S 0.7347 0.7347 0.1361

## Properties
The calculation puts the spin magnetization at 0.0 μB/f.u. As for the space group: Cm. The calculation puts the calculated total energy at -7.54 eV per atom.


This record from the Open Quantum Materials Database describes a geometry-optimized WSeS structure. The functional is PBE.

Cell lengths 11.1638, 11.1638, 5.6052 Å; angles 90.00, 90.00, 163.28 degrees
Sites, in units of the cell vectors:
1 W 0.2500 0.7500 0.5000
2 W 0.7500 0.2500 0.0000
3 Se 0.1716 0.8284 0.1664
4 Se 0.8284 0.1716 0.6664
5 S 0.3190 0.6810 0.1662
6 S 0.6810 0.3190 0.6662

## Properties
The calculation puts the spin magnetization at 0.0 μB/f.u. As for the space group: Cmc2_1. The calculation puts the calculated total energy at -7.55 eV per atom.


This record from the Open Quantum Materials Database describes a geometry-optimized W2Se3S structure. The functional is PBE.

Cell lengths 5.6850, 3.2855, 11.6312 Å; angles 90.00, 104.15, 90.00 degrees
Sites, in units of the cell vectors:
1 W 0.0000 0.0000 0.0000
2 W 0.4944 0.5000 0.0005
3 Se 0.0873 0.5000 0.8477
4 Se 0.5896 0.0000 0.8511
5 Se 0.7397 0.0000 0.1510
6 S 0.2308 0.5000 0.1348

## Properties
The calculation puts the spin magnetization at 0.0 μB/f.u. As for the space group: Pm. The calculation puts the calculated total energy at -7.37 eV per atom.


This record from the Open Quantum Materials Database describes a geometry-optimized W2SeS3 structure. The functional is PBE.

Cell lengths 10.6697, 10.6697, 5.5558 Å; angles 90.01, 90.01, 17.30 degrees
Sites, in units of the cell vectors:
1 W 0.0000 0.0000 0.0000
2 W 0.5000 0.5000 0.4934
3 Se 0.9181 0.9181 0.6642
4 S 0.0730 0.0730 0.6640
5 S 0.4260 0.4260 0.1629
6 S 0.5747 0.5747 0.1628

## Properties
The calculation puts the spin magnetization at 0.0 μB/f.u. As for the space group: Cm. The calculation puts the calculated total energy at -7.72 eV per atom.


This record from the Open Quantum Materials Database describes a geometry-optimized WSeS structure. The functional is PBE.

Cell lengths 11.1617, 11.1617, 5.6300 Å; angles 90.00, 90.00, 163.25 degrees
Sites, in units of the cell vectors:
1 W 0.0000 0.0000 0.0000
2 W 0.5000 0.5000 0.4892
3 Se 0.0769 0.9231 0.6627
4 Se 0.9231 0.0769 0.6627
5 S 0.4295 0.5705 0.1608
6 S 0.5705 0.4295 0.1608

## Properties
The calculation puts the spin magnetization at 0.0 μB/f.u. As for the space group: Cmm2. The calculation puts the calculated total energy at -7.55 eV per atom.


> Look up the spin magnetization of the twelfth one.

0.0 μB/f.u.


> Which value of spin magnetization does entry 4 give?

0.0 μB/f.u.